Entry from Alexandria via LeMat-Bulk: an optimized crystal structure of NaHf3Mn (PBE). Values from VASP.

## Properties
For the energy above the lowest structure with this stoichiometry, the calculation gives 1632.5 meV/atom. The value obtained for the calculated volume is 22.7 Å³ per atom. The density of states at the Fermi level is 1.9859 states/eV per atom.

```
&SYSTEM
  ibrav = 0, nat = 5, ntyp = 3
/
ATOMIC_SPECIES
Na 22.99 Na.upf
Hf 178.49 Hf.upf
Mn 54.94 Mn.upf
ATOMIC_POSITIONS crystal
Na 0.000 0.000 0.000
Hf 0.000 0.000 0.500
Hf 0.000 0.500 0.000
Hf 0.500 0.000 0.000
Mn 0.500 0.500 0.500
CELL_PARAMETERS angstrom
4.842 0.000 0.000
0.000 4.842 0.000
0.000 0.000 4.842
```